1.
Entry from Alexandria via LeMat-Bulk: an optimized crystal structure of LaBe2H8 (PBE-GGA).

Output
- Symmetry: No. 12
- Spin magnetization: 0.000 μB per atom
- E: -40.5 eV/cell
- N(E_F): 1.70 states/eV/cell

Cell and atoms, written as CIF:
```
data_LaBe2H8
_space_group_name_H-M_alt 'P 1'
_space_group_IT_number 1
_cell_length_a 4.397
_cell_length_b 4.397
_cell_length_c 6.679
_cell_angle_alpha 118.59
_cell_angle_beta 118.59
_cell_angle_gamma 61.34
loop_
_space_group_symop_operation_xyz
'x,y,z'
loop_
_atom_site_label
_atom_site_type_symbol
_atom_site_fract_x
_atom_site_fract_y
_atom_site_fract_z
_atom_site_occupancy
La1 La 0.000 0.000 0.000 1
Be1 Be 0.464 0.464 0.317 1
Be2 Be 0.536 0.536 0.683 1
H1 H 0.080 0.606 0.192 1
H2 H 0.337 0.337 0.438 1
H3 H 0.394 0.920 0.808 1
H4 H 0.408 0.408 0.791 1
H5 H 0.592 0.592 0.209 1
H6 H 0.606 0.080 0.192 1
H7 H 0.663 0.663 0.562 1
H8 H 0.920 0.394 0.808 1
```

2.
Entry from Alexandria via LeMat-Bulk: an optimized crystal structure of CoNi5H6 (PBE-GGA).

Output
- Symmetry: No. 12
- Spin magnetization: 0.080 μB per atom
- E: -56.4 eV/cell
- N(E_F): 9.66 states/eV/cell

Cell and atoms, written as CIF:
```
data_CoNi5H6
_space_group_name_H-M_alt 'P 1'
_space_group_IT_number 1
_cell_length_a 4.545
_cell_length_b 4.545
_cell_length_c 4.551
_cell_angle_alpha 99.45
_cell_angle_beta 99.45
_cell_angle_gamma 119.94
loop_
_space_group_symop_operation_xyz
'x,y,z'
loop_
_atom_site_label
_atom_site_type_symbol
_atom_site_fract_x
_atom_site_fract_y
_atom_site_fract_z
_atom_site_occupancy
Co1 Co 0.000 0.000 0.000 1
Ni1 Ni 0.166 0.834 0.500 1
Ni2 Ni 0.333 0.667 0.000 1
Ni3 Ni 0.500 0.500 0.500 1
Ni4 Ni 0.667 0.333 0.000 1
Ni5 Ni 0.834 0.166 0.500 1
H1 H 0.083 0.404 0.247 1
H2 H 0.242 0.242 0.756 1
H3 H 0.404 0.083 0.247 1
H4 H 0.596 0.917 0.753 1
H5 H 0.758 0.758 0.244 1
H6 H 0.917 0.596 0.753 1
```

3.
Entry from Alexandria via LeMat-Bulk: an optimized crystal structure of LiCuRh2 (PBE-GGA).

Output
- Calculated formation energy: 0.049 eV/atom
- Symmetry: No. 139
- Spin magnetization: 0.274 μB per atom
- E: -20.5 eV/cell
- N(E_F): 6.18 states/eV/cell

Cell and atoms, written as CIF:
```
data_LiCuRh2
_space_group_name_H-M_alt 'P 1'
_space_group_IT_number 1
_cell_length_a 4.589
_cell_length_b 4.589
_cell_length_c 4.589
_cell_angle_alpha 131.55
_cell_angle_beta 131.55
_cell_angle_gamma 70.94
loop_
_space_group_symop_operation_xyz
'x,y,z'
loop_
_atom_site_label
_atom_site_type_symbol
_atom_site_fract_x
_atom_site_fract_y
_atom_site_fract_z
_atom_site_occupancy
Li1 Li 0.000 0.000 0.000 1
Cu1 Cu 0.500 0.500 0.000 1
Rh1 Rh 0.250 0.750 0.500 1
Rh2 Rh 0.750 0.250 0.500 1
```

4.
Entry from Alexandria via LeMat-Bulk: an optimized crystal structure of YMgH3 (PBE-GGA).

Output
- Symmetry: No. 221
- Spin magnetization: 0.000 μB per atom
- ΔE to the lowest computed polymorph: 103 meV per atom
- E: -18.3 eV/cell
- N(E_F): 3.25 states/eV/cell

Cell and atoms, written as CIF:
```
data_YMgH3
_space_group_name_H-M_alt 'P 1'
_space_group_IT_number 1
_cell_length_a 3.840
_cell_length_b 3.840
_cell_length_c 3.840
_cell_angle_alpha 90.00
_cell_angle_beta 90.00
_cell_angle_gamma 90.00
loop_
_space_group_symop_operation_xyz
'x,y,z'
loop_
_atom_site_label
_atom_site_type_symbol
_atom_site_fract_x
_atom_site_fract_y
_atom_site_fract_z
_atom_site_occupancy
Y1 Y 0.000 0.000 0.000 1
Mg1 Mg 0.500 0.500 0.500 1
H1 H 0.000 0.500 0.500 1
H2 H 0.500 0.000 0.500 1
H3 H 0.500 0.500 0.000 1
```

5.
Entry from Alexandria via LeMat-Bulk: an optimized crystal structure of Cs2ThSn2Se6 (PBE-GGA).

Output
- Symmetry: No. 12
- Spin magnetization: 0.000 μB per atom
- E: -48.8 eV/cell

Cell and atoms, written as CIF:
```
data_Cs2ThSn2Se6
_space_group_name_H-M_alt 'P 1'
_space_group_IT_number 1
_cell_length_a 7.874
_cell_length_b 7.874
_cell_length_c 9.091
_cell_angle_alpha 117.02
_cell_angle_beta 117.02
_cell_angle_gamma 60.80
loop_
_space_group_symop_operation_xyz
'x,y,z'
loop_
_atom_site_label
_atom_site_type_symbol
_atom_site_fract_x
_atom_site_fract_y
_atom_site_fract_z
_atom_site_occupancy
Cs1 Cs 0.210 0.210 0.200 1
Cs2 Cs 0.790 0.790 0.800 1
Th1 Th 0.000 0.000 0.500 1
Sn1 Sn 0.462 0.462 0.817 1
Sn2 Sn 0.538 0.538 0.183 1
Se1 Se 0.183 0.707 0.221 1
Se2 Se 0.240 0.240 0.622 1
Se3 Se 0.293 0.817 0.779 1
Se4 Se 0.707 0.183 0.221 1
Se5 Se 0.760 0.760 0.378 1
Se6 Se 0.817 0.293 0.779 1
```

6.
Entry from Alexandria via LeMat-Bulk: an optimized crystal structure of Dy2Tm3Ag2 (PBE-GGA).

Output
- Calculated formation energy: -0.113 eV/atom
- Symmetry: No. 166
- Spin magnetization: 0.000 μB per atom
- ΔE to the lowest computed polymorph: 64 meV per atom
- E: -29.1 eV/cell
- N(E_F): 7.51 states/eV/cell

Cell and atoms, written as CIF:
```
data_Dy2Tm3Ag2
_space_group_name_H-M_alt 'P 1'
_space_group_IT_number 1
_cell_length_a 8.213
_cell_length_b 8.213
_cell_length_c 8.213
_cell_angle_alpha 37.66
_cell_angle_beta 37.66
_cell_angle_gamma 37.66
loop_
_space_group_symop_operation_xyz
'x,y,z'
loop_
_atom_site_label
_atom_site_type_symbol
_atom_site_fract_x
_atom_site_fract_y
_atom_site_fract_z
_atom_site_occupancy
Dy1 Dy 0.076 0.076 0.076 1
Dy2 Dy 0.924 0.924 0.924 1
Tm1 Tm 0.340 0.340 0.340 1
Tm2 Tm 0.500 0.500 0.500 1
Tm3 Tm 0.660 0.660 0.660 1
Ag1 Ag 0.213 0.213 0.213 1
Ag2 Ag 0.787 0.787 0.787 1
```

7.
Entry from Alexandria via LeMat-Bulk: an optimized crystal structure of KTl2 (PBE-GGA).

Output
- Calculated formation energy: -0.042 eV/atom
- Symmetry: No. 63
- Spin magnetization: 0.000 μB per atom
- ΔE to the lowest computed polymorph: 72 meV per atom
- E: -11.9 eV/cell
- N(E_F): 4.56 states/eV/cell

Cell and atoms, written as CIF:
```
data_KTl2
_space_group_name_H-M_alt 'P 1'
_space_group_IT_number 1
_cell_length_a 9.396
_cell_length_b 9.396
_cell_length_c 6.021
_cell_angle_alpha 90.00
_cell_angle_beta 90.00
_cell_angle_gamma 157.45
loop_
_space_group_symop_operation_xyz
'x,y,z'
loop_
_atom_site_label
_atom_site_type_symbol
_atom_site_fract_x
_atom_site_fract_y
_atom_site_fract_z
_atom_site_occupancy
K1 K 0.112 0.888 0.750 1
K2 K 0.888 0.112 0.250 1
Tl1 Tl 0.217 0.783 0.250 1
Tl2 Tl 0.443 0.557 0.750 1
Tl3 Tl 0.557 0.443 0.250 1
Tl4 Tl 0.783 0.217 0.750 1
```

8.
Entry from Alexandria via LeMat-Bulk: an optimized crystal structure of AlP2SBr (PBE-GGA).

Output
- Symmetry: No. 123
- Spin magnetization: 0.000 μB per atom
- ΔE to the lowest computed polymorph: 0 meV per atom
- E: -17.5 eV/cell
- N(E_F): 3.84 states/eV/cell

Cell and atoms, written as CIF:
```
data_AlP2SBr
_space_group_name_H-M_alt 'P 1'
_space_group_IT_number 1
_cell_length_a 4.826
_cell_length_b 4.826
_cell_length_c 4.461
_cell_angle_alpha 90.00
_cell_angle_beta 90.00
_cell_angle_gamma 90.00
loop_
_space_group_symop_operation_xyz
'x,y,z'
loop_
_atom_site_label
_atom_site_type_symbol
_atom_site_fract_x
_atom_site_fract_y
_atom_site_fract_z
_atom_site_occupancy
Al1 Al 0.000 0.000 0.000 1
P1 P 0.000 0.500 0.000 1
P2 P 0.500 0.000 0.000 1
S1 S 0.000 0.000 0.500 1
Br1 Br 0.500 0.500 0.500 1
```

9.
Entry from Alexandria via LeMat-Bulk: an optimized crystal structure of TaAg2Sb (PBE-GGA).

Output
- Symmetry: No. 12
- Spin magnetization: 0.000 μB per atom
- E: -20.5 eV/cell
- N(E_F): 1.72 states/eV/cell

Cell and atoms, written as CIF:
```
data_TaAg2Sb
_space_group_name_H-M_alt 'P 1'
_space_group_IT_number 1
_cell_length_a 6.033
_cell_length_b 6.033
_cell_length_c 2.951
_cell_angle_alpha 103.39
_cell_angle_beta 103.39
_cell_angle_gamma 123.36
loop_
_space_group_symop_operation_xyz
'x,y,z'
loop_
_atom_site_label
_atom_site_type_symbol
_atom_site_fract_x
_atom_site_fract_y
_atom_site_fract_z
_atom_site_occupancy
Ta1 Ta 0.000 0.000 0.000 1
Ag1 Ag 0.000 0.500 0.500 1
Ag2 Ag 0.500 0.000 0.500 1
Sb1 Sb 0.500 0.500 0.000 1
```

10.
Entry from Alexandria via LeMat-Bulk: an optimized crystal structure of PuBeZn2 (PBE-GGA).

Output
- Calculated formation energy: 0.079 eV/atom
- Symmetry: No. 166
- Spin magnetization: 1.521 μB per atom
- E: -20.3 eV/cell
- N(E_F): 9.70 states/eV/cell

Cell and atoms, written as CIF:
```
data_PuBeZn2
_space_group_name_H-M_alt 'P 1'
_space_group_IT_number 1
_cell_length_a 5.669
_cell_length_b 5.669
_cell_length_c 5.669
_cell_angle_alpha 41.62
_cell_angle_beta 41.62
_cell_angle_gamma 41.62
loop_
_space_group_symop_operation_xyz
'x,y,z'
loop_
_atom_site_label
_atom_site_type_symbol
_atom_site_fract_x
_atom_site_fract_y
_atom_site_fract_z
_atom_site_occupancy
Pu1 Pu 0.000 0.000 0.000 1
Be1 Be 0.500 0.500 0.500 1
Zn1 Zn 0.203 0.203 0.203 1
Zn2 Zn 0.797 0.797 0.797 1
```

11.
Entry from Alexandria via LeMat-Bulk: an optimized crystal structure of AcNdTe2 (PBE-GGA).

Output
- Symmetry: No. 123
- Spin magnetization: 0.228 μB per atom
- ΔE to the lowest computed polymorph: 96 meV per atom
- E: -20.6 eV/cell
- N(E_F): 2.81 states/eV/cell

Cell and atoms, written as CIF:
```
data_AcNdTe2
_space_group_name_H-M_alt 'P 1'
_space_group_IT_number 1
_cell_length_a 3.977
_cell_length_b 3.977
_cell_length_c 7.958
_cell_angle_alpha 90.00
_cell_angle_beta 90.00
_cell_angle_gamma 90.00
loop_
_space_group_symop_operation_xyz
'x,y,z'
loop_
_atom_site_label
_atom_site_type_symbol
_atom_site_fract_x
_atom_site_fract_y
_atom_site_fract_z
_atom_site_occupancy
Ac1 Ac 0.000 0.000 0.000 1
Nd1 Nd 0.000 0.000 0.500 1
Te1 Te 0.500 0.500 0.262 1
Te2 Te 0.500 0.500 0.738 1
```